Record 1
The following is a DFT calculation (GGA-PBE) of a geometry-optimized Ni7Pt5 structure.

Cell lengths 7.9788, 4.4414, 9.3613 Å; angles 90.00, 106.56, 90.00 degrees
Space group C2/m (No. 12)
One atom of each set of equivalent atoms:
Ni: 0.0000 0.0000 0.0000 x2
Ni: 0.0748 0.5000 0.2539 x4
Ni: 0.0761 0.0000 0.7325 x4
Ni: 0.1734 0.0000 0.5044 x4
Pt: 0.0000 0.5000 0.5000 x2
Pt: 0.1710 0.5000 0.0179 x4
Pt: 0.2404 0.0000 0.2478 x4

Computed properties:
Energy above the most stable polymorph in this dataset = 78.6 meV/atom
Calculated volume = 318.0 Å³/cell

***

Record 2
The following is a DFT calculation (GGA-PBE) of a geometry-optimized Ni2Pt5 structure.

Cell lengths 5.4662, 7.6050, 5.0812 Å; angles 90.00, 99.74, 90.00 degrees
Space group C2/m (No. 12)
One atom of each set of equivalent atoms:
Ni: 0.2166 0.0000 0.0693 x4
Pt: 0.0000 0.0000 0.5000 x2
Pt: 0.0961 0.3066 0.2656 x8

Computed properties:
Calculated volume = 208.2 Å³/cell

***

Record 3
The following is a DFT calculation (GGA-PBE) of a geometry-optimized Ni4Pt3 structure.

Cell lengths 7.0024, 7.0024, 6.5186 Å; angles 90.00, 90.00, 120.00 degrees
Space group R3 (No. 146, hexagonal axes)
One atom of each set of equivalent atoms:
Ni: 0.0000 0.0000 0.0000 x3
Ni: 0.1472 0.4346 0.9913 x9
Pt: 0.0578 0.8113 0.6603 x9

Computed properties:
Energy above the most stable polymorph in this dataset = 38.6 meV/atom
Calculated volume = 276.8 Å³/cell

***

Record 4
The following is a DFT calculation (GGA-PBE) of a geometry-optimized Ni3Pt structure.

Cell lengths 3.6572, 3.6572, 3.6572 Å; angles 90.00, 90.00, 90.00 degrees
Space group Pm-3m (No. 221)
One atom of each set of equivalent atoms:
Ni: 0.0000 0.0000 0.5000 x3
Pt: 0.5000 0.5000 0.5000 x1

Computed properties:
Calculated volume = 48.9 Å³/cell

***

Record 5
The following is a DFT calculation (GGA-PBE) of a geometry-optimized Ni3Pt4 structure.

Cell lengths 7.4318, 4.2906, 6.6782 Å; angles 90.00, 111.85, 90.00 degrees
Space group C2/m (No. 12)
One atom of each set of equivalent atoms:
Ni: 0.0000 0.0000 0.0000 x2
Ni: 0.2233 0.5000 0.1706 x4
Pt: 0.0895 0.5000 0.7682 x4
Pt: 0.1374 0.0000 0.4119 x4

Computed properties:
Energy above the most stable polymorph in this dataset = 127.0 meV/atom
Calculated volume = 197.6 Å³/cell

***

Record 6
The following is a DFT calculation (GGA-PBE) of a geometry-optimized Ni3Pt2 structure.

Cell lengths 4.1214, 4.1214, 5.0608 Å; angles 90.00, 90.00, 120.00 degrees
Space group P-3m1 (No. 164)
One atom of each set of equivalent atoms:
Ni: 0.0000 0.0000 0.0000 x1
Ni: 0.3333 0.6667 0.3666 x2
Pt: 0.3333 0.6667 0.8493 x2

Computed properties:
Energy above the most stable polymorph in this dataset = 302.7 meV/atom
Calculated volume = 74.4 Å³/cell

***

Record 7
The following is a DFT calculation (GGA-PBE) of a geometry-optimized NiPt2 structure.

Cell lengths 2.7514, 2.7514, 13.1495 Å; angles 90.00, 90.00, 120.00 degrees
Space group P-3m1 (No. 164)
One atom of each set of equivalent atoms:
Ni: 0.3333 0.6667 0.1603 x2
Pt: 0.0000 0.0000 0.0000 x1
Pt: 0.0000 0.0000 0.5000 x1
Pt: 0.3333 0.6667 0.6819 x2

Computed properties:
Calculated volume = 86.2 Å³/cell

***

Record 8
The following is a DFT calculation (GGA-PBE) of a geometry-optimized NiPt structure.

Cell lengths 2.7056, 2.7056, 8.6659 Å; angles 90.00, 90.00, 120.00 degrees
Space group P-3m1 (No. 164)
One atom of each set of equivalent atoms:
Ni: 0.3333 0.6667 0.3908 x2
Pt: 0.3333 0.6667 0.8565 x2

Computed properties:
Calculated volume = 54.9 Å³/cell

***

Record 9
The following is a DFT calculation (GGA-PBE) of a geometry-optimized Ni4Pt structure.

Cell lengths 5.4875, 5.4875, 5.4875 Å; angles 90.00, 90.00, 90.00 degrees
Space group Im-3m (No. 229)
One atom of each set of equivalent atoms:
Ni: 0.2500 0.2500 0.2500 x8
Pt: 0.0000 0.0000 0.0000 x2

Computed properties:
Energy above the most stable polymorph in this dataset = 888.6 meV/atom
Calculated volume = 165.2 Å³/cell

***

Record 10
The following is a DFT calculation (GGA-PBE) of a geometry-optimized Ni4Pt structure.

Cell lengths 5.7280, 5.7280, 3.6416 Å; angles 90.00, 90.00, 90.00 degrees
Space group I4/m (No. 87)
One atom of each set of equivalent atoms:
Ni: 0.0965 0.6955 0.0000 x8
Pt: 0.0000 0.0000 0.5000 x2

Computed properties:
Energy above the most stable polymorph in this dataset = 0.0 meV/atom
Calculated volume = 119.5 Å³/cell

***

Record 11
The following is a DFT calculation (GGA-PBE) of a geometry-optimized NiPt structure.

Cell lengths 3.8348, 3.8348, 4.7602 Å; angles 90.00, 90.00, 120.00 degrees
Space group P6_3/mmc (No. 194)
One atom of each set of equivalent atoms:
Ni: 0.0000 0.0000 0.0000 x2
Pt: 0.3333 0.6667 0.2500 x2

Computed properties:
Calculated volume = 60.6 Å³/cell

***

Record 12
The following is a DFT calculation (GGA-PBE) of a geometry-optimized Ni5Pt3 structure.

Cell lengths 7.3442, 7.5309, 3.7288 Å; angles 90.00, 90.00, 90.00 degrees
Space group Cmmm (No. 65)
One atom of each set of equivalent atoms:
Ni: 0.0000 0.0000 0.0000 x2
Ni: 0.2499 0.0000 0.5000 x4
Ni: 0.2500 0.2500 0.0000 x4
Pt: 0.0000 0.2387 0.5000 x4
Pt: 0.0000 0.5000 0.0000 x2

Computed properties:
Energy above the most stable polymorph in this dataset = 0.0 meV/atom
Calculated volume = 206.2 Å³/cell

***

Record 13
The following is a DFT calculation (GGA-PBE) of a geometry-optimized Ni3Pt2 structure.

Cell lengths 8.7705, 12.7005, 4.7025 Å; angles 90.00, 90.00, 90.00 degrees
Space group Fdd2 (No. 43)
One atom of each set of equivalent atoms:
Ni: 0.0000 0.0000 0.0000 x8
Ni: 0.0354 0.0979 0.4573 x16
Pt: 0.0258 0.1986 0.9319 x16

Computed properties:
Energy above the most stable polymorph in this dataset = 45.6 meV/atom
Calculated volume = 523.8 Å³/cell

***

Record 14
The following is a DFT calculation (GGA-PBE) of a geometry-optimized NiPt5 structure.

Cell lengths 7.3588, 7.3588, 7.3588 Å; angles 90.00, 90.00, 90.00 degrees
Space group F-43m (No. 216)
One atom of each set of equivalent atoms:
Ni: 0.0000 0.0000 0.0000 x4
Pt: 0.1250 0.1250 0.3750 x16
Pt: 0.2500 0.2500 0.7500 x4

Computed properties:
Calculated volume = 398.5 Å³/cell

***

Record 15
The following is a DFT calculation (GGA-PBE) of a geometry-optimized NiPt structure.

Cell lengths 9.6323, 2.7177, 6.5165 Å; angles 90.00, 107.80, 90.00 degrees
Space group Cm (No. 8)
One atom of each set of equivalent atoms:
Ni: 0.0000 0.0000 0.0000 x2
Ni: 0.0597 0.0000 0.5705 x2
Ni: 0.1676 0.5000 0.3144 x2
Pt: 0.2018 0.5000 0.9092 x2
Pt: 0.3453 0.0000 0.6537 x2
Pt: 0.3900 0.0000 0.2554 x2

Computed properties:
Calculated volume = 162.4 Å³/cell

***

Record 16
The following is a DFT calculation (GGA-PBE) of a geometry-optimized NiPt2 structure.

Cell lengths 9.0336, 8.1823, 4.7209 Å; angles 90.00, 99.55, 90.00 degrees
Space group C2/m (No. 12)
One atom of each set of equivalent atoms:
Ni: 0.0000 0.1609 0.0000 x4
Ni: 0.2451 0.0000 0.2486 x4
Pt: 0.0000 0.0000 0.5000 x2
Pt: 0.0000 0.3324 0.5000 x4
Pt: 0.0000 0.5000 0.0000 x2
Pt: 0.2496 0.1679 0.7560 x8

Computed properties:
Calculated volume = 344.1 Å³/cell

***

Record 17
The following is a DFT calculation (GGA-PBE) of a geometry-optimized NiPt structure.

Cell lengths 6.6662, 7.1593, 9.5953 Å; angles 90.00, 90.00, 90.00 degrees
Space group Fddd (No. 70, origin choice 2)
One atom of each set of equivalent atoms:
Ni: 0.0510 0.3750 0.3750 x16
Pt: 0.1250 0.3109 0.6250 x16

Computed properties:
Calculated volume = 457.9 Å³/cell

***

Record 18
The following is a DFT calculation (GGA-PBE) of a geometry-optimized Ni4Pt7 structure.

Cell lengths 8.2950, 8.2950, 2.7079 Å; angles 90.00, 90.00, 120.00 degrees
Space group P-6m2 (No. 187)
One atom of each set of equivalent atoms:
Ni: 0.0000 0.0000 0.0000 x1
Ni: 0.0110 0.5055 0.5000 x3
Pt: 0.1892 0.3784 0.0000 x3
Pt: 0.3086 0.1543 0.5000 x3
Pt: 0.6667 0.3333 0.0000 x1

Computed properties:
Energy above the most stable polymorph in this dataset = 106.6 meV/atom
Calculated volume = 161.4 Å³/cell

***

Record 19
The following is a DFT calculation (GGA-PBE) of a geometry-optimized Ni3Pt2 structure.

Cell lengths 6.4026, 2.6885, 7.8217 Å; angles 90.00, 104.38, 90.00 degrees
Space group Pm (No. 6)
One atom of each set of equivalent atoms:
Ni: 0.0000 0.0000 0.0000 x1
Ni: 0.0872 0.5000 0.2790 x1
Ni: 0.1784 0.0000 0.5993 x1
Ni: 0.2791 0.5000 0.8941 x1
Ni: 0.3748 0.0000 0.1819 x1
Ni: 0.5593 0.0000 0.7849 x1
Pt: 0.4600 0.5000 0.4873 x1
Pt: 0.6787 0.5000 0.0726 x1
Pt: 0.7934 0.0000 0.3878 x1
Pt: 0.8850 0.5000 0.7095 x1

Computed properties:
Energy above the most stable polymorph in this dataset = 2.8 meV/atom
Calculated volume = 130.4 Å³/cell

***

Record 20
The following is a DFT calculation (GGA-PBE) of a geometry-optimized Ni3Pt structure.

Cell lengths 2.6371, 2.6371, 8.2967 Å; angles 90.00, 90.00, 120.00 degrees
Space group P-6m2 (No. 187)
One atom of each set of equivalent atoms:
Ni: 0.0000 0.0000 0.0000 x1
Ni: 0.6667 0.3333 0.2341 x2
Pt: 0.0000 0.0000 0.5000 x1

Computed properties:
Calculated volume = 50.0 Å³/cell

***

Energy of formation for every record listed, in sequence, given in eV per atom: 0.01 0.06 -0.06 -0.08 0.06 0.25 -0.04 0.04 0.83 -0.05 0.31 -0.07 -0.01 0.36 -0.04 -0.05 0.23 0.04 -0.05 0.05.